No. 1
LaZr2CoAu, relaxed, DFT PBE-GGA; formation energy from the elements = 1191 meV/atom; DOS(E_F) = 5.869 states/eV/cell; total DFT energy (no corrections) = -5.290 eV/atom
1.0
5.1855 0.0000 0.0000
0.0000 5.1855 0.0000
0.0000 0.0000 4.3667
La Zr Co Au
1 2 1 1
Cartesian
0.0000 0.0000 0.0000 La
0.0000 2.5927 0.0000 Zr
2.5927 0.0000 0.0000 Zr
0.0000 0.0000 2.1833 Co
2.5927 2.5927 2.1833 Au

=====

No. 2
LiCo4Au, relaxed, DFT PBE-GGA; formation energy from the elements = 124 meV/atom; DOS(E_F) = 6.203 states/eV/cell; total DFT energy (no corrections) = -5.478 eV/atom
1.0
0.0000 3.3811 3.3811
3.3811 0.0000 3.3811
3.3811 3.3811 0.0000
Li Co Au
1 4 1
Cartesian
0.0000 0.0000 0.0000 Li
2.5343 2.5343 2.5343 Co
4.2280 4.2280 2.5343 Co
4.2280 2.5343 4.2280 Co
2.5343 4.2280 4.2280 Co
5.0717 5.0717 5.0717 Au

=====

No. 3
LiCo2Au, relaxed, DFT PBE-GGA; formation energy from the elements = 167 meV/atom; DOS(E_F) = 3.723 states/eV/cell; total DFT energy (no corrections) = -4.684 eV/atom
1.0
2.6255 0.0000 0.0000
0.0000 4.1037 0.0000
0.0000 0.0000 4.9349
Li Co Au
1 2 1
Cartesian
0.0000 0.0000 0.0000 Li
1.3128 2.0518 1.1595 Co
1.3128 2.0518 3.7755 Co
0.0000 0.0000 2.4675 Au

=====

No. 4
LiCo2Au, relaxed, DFT PBE-GGA; formation energy from the elements = 71 meV/atom; DOS(E_F) = 3.784 states/eV/cell; total DFT energy (no corrections) = -4.779 eV/atom
1.0
4.5948 -1.3501 0.0000
4.5948 1.3501 0.0000
-0.7429 0.0000 4.2224
Li Co Au
1 2 1
Cartesian
0.0000 0.0000 0.0000 Li
1.7018 0.0000 3.1948 Co
6.7449 0.0000 1.0276 Co
4.2234 0.0000 2.1112 Au

=====

No. 5
Li2CoAu, relaxed, DFT PBE-GGA; formation energy from the elements = -21 meV/atom; DOS(E_F) = 3.559 states/eV/cell; total DFT energy (no corrections) = -3.574 eV/atom
1.0
2.6881 0.0000 0.0000
0.0000 4.0484 0.0000
0.0000 0.0000 5.2996
Li Co Au
2 1 1
Cartesian
0.0000 0.0000 0.0000 Li
1.3441 2.0242 1.3542 Li
1.3441 2.0242 3.9205 Co
0.0000 0.0000 2.7204 Au

=====

No. 6
Li2CoAu, relaxed, DFT PBE-GGA; formation energy from the elements = -55 meV/atom; DOS(E_F) = 5.465 states/eV/cell; total DFT energy (no corrections) = -3.608 eV/atom
1.0
-2.0452 2.0452 3.3409
2.0452 -2.0452 3.3409
2.0452 2.0452 -3.3409
Li Co Au
2 1 1
Cartesian
0.0000 0.0000 0.0000 Li
0.0000 2.0452 1.6704 Li
2.0452 0.0000 1.6704 Co
0.0000 0.0000 3.3409 Au

=====

Please write out number 2 again, unchanged.
LiCo4Au, relaxed, DFT PBE-GGA; formation energy from the elements = 124 meV/atom; DOS(E_F) = 6.203 states/eV/cell; total DFT energy (no corrections) = -5.478 eV/atom
1.0
0.0000 3.3811 3.3811
3.3811 0.0000 3.3811
3.3811 3.3811 0.0000
Li Co Au
1 4 1
Cartesian
0.0000 0.0000 0.0000 Li
2.5343 2.5343 2.5343 Co
4.2280 4.2280 2.5343 Co
4.2280 2.5343 4.2280 Co
2.5343 4.2280 4.2280 Co
5.0717 5.0717 5.0717 Au